1.
Below is a relaxed structure of KIrPb2Cl, with properties calculated at the PBE-GGA level.

Properties
Final energy, eV/cell: -20.373
ΔE_f (raw), eV per atom: -0.230
D(E_F), states/eV per atom: 0.58
Mass density, g/cm3: 6.46

POSCAR file:
```
KIrPb2Cl
1.0
5.1628 0.0000 0.0000
0.0000 5.1628 0.0000
0.0000 0.0000 6.5697
K Ir Pb Cl
1 1 2 1
Direct
0.0000 0.0000 0.0000
0.0000 0.0000 0.5000
0.0000 0.5000 0.5000
0.5000 0.0000 0.5000
0.5000 0.5000 0.0000
```

=====

2.
Below is a relaxed structure of Na2NpPbF8, with properties calculated at the PBE-GGA level.

Properties
Final energy, eV/cell: -70.146
ΔE_f (raw), eV per atom: -2.991
D(E_F), states/eV per atom: 0.13
Mass density, g/cm3: 5.75

POSCAR file:
```
Na2NpPbF8
1.0
4.0082 0.0000 0.0000
0.0000 8.1111 0.0000
-0.0067 0.0000 5.7044
Na Np Pb F
2 1 1 8
Direct
0.0000 0.2330 0.0000
0.0000 0.7670 0.0000
0.5000 0.5000 0.5000
0.5000 0.0000 0.5000
0.9996 0.5000 0.2819
0.0004 0.5000 0.7181
0.0005 0.0000 0.7564
0.4995 0.2836 0.2608
0.4995 0.7164 0.2608
0.5005 0.2836 0.7392
0.5005 0.7164 0.7392
0.9995 0.0000 0.2436
```